1.
An optimized crystal structure of Pa4BiC2, computed with PBE. Values from VASP.

Geometry as Quantum ESPRESSO input:
```
&SYSTEM
  ibrav = 0, nat = 14, ntyp = 3
/
ATOMIC_SPECIES
Bi 208.98 Bi.upf
C 12.01 C.upf
Pa 231.04 Pa.upf
CELL_PARAMETERS angstrom
3.685 0.000 0.000
-1.842 6.412 0.000
0.000 0.000 12.495
ATOMIC_POSITIONS angstrom
Bi 1.842 1.207 9.371
Bi 0.000 5.205 3.124
C 0.000 1.607 0.620
C 1.842 4.805 6.867
C 1.842 4.805 11.875
C 0.000 1.607 5.627
Pa 1.842 0.000 6.247
Pa 0.000 3.128 7.512
Pa 1.842 3.285 4.982
Pa 0.000 1.360 3.124
Pa 1.842 3.285 1.265
Pa 0.000 3.128 11.230
Pa 1.842 5.053 9.371
Pa 1.842 0.000 0.000
```

## Properties
DFT total energy = -123.547 eV for the cell shown
E_form = -1.5 eV/f.u.

=====

2.
An optimized crystal structure of Pa4Bi5C, computed with PBE. Values from VASP.

Geometry as Quantum ESPRESSO input:
```
&SYSTEM
  ibrav = 0, nat = 10, ntyp = 3
/
ATOMIC_SPECIES
Pa 231.04 Pa.upf
Bi 208.98 Bi.upf
C 12.01 C.upf
CELL_PARAMETERS angstrom
-1.798 1.485 2.412
4.446 -5.117 6.467
6.789 6.103 -1.030
ATOMIC_POSITIONS angstrom
Pa 3.772 -4.017 5.286
Pa 5.665 6.488 2.562
Pa 1.037 2.234 1.732
Pa 8.399 0.237 6.117
Bi 5.865 2.301 5.290
Bi 3.571 0.170 2.559
Bi 1.324 -1.816 4.439
Bi 5.744 -1.481 5.195
Bi 3.693 3.952 2.654
C -0.899 0.743 1.206
```

## Properties
DFT total energy = -67.628 eV for the cell shown
E_form = -1.0 eV/f.u.

=====

3.
An optimized crystal structure of Pa4Bi2C, computed with PBE. Values from VASP.

Geometry as Quantum ESPRESSO input:
```
&SYSTEM
  ibrav = 0, nat = 14, ntyp = 3
/
ATOMIC_SPECIES
Pa 231.04 Pa.upf
C 12.01 C.upf
Bi 208.98 Bi.upf
CELL_PARAMETERS angstrom
7.308 0.000 0.275
0.000 6.485 0.000
-2.369 0.000 7.550
ATOMIC_POSITIONS angstrom
Pa 3.171 0.204 2.090
Pa 3.171 3.038 2.090
Pa -1.044 4.864 6.939
Pa 0.084 4.864 3.095
Pa 1.768 6.281 5.735
Pa 5.984 1.621 0.887
Pa 4.856 1.621 4.730
Pa 1.768 3.447 5.735
C 1.840 4.864 1.611
C 3.099 1.621 6.215
Bi 4.414 4.864 4.534
Bi 0.525 1.621 3.292
Bi 5.563 4.864 0.736
Bi -0.623 1.621 7.090
```

## Properties
DFT total energy = -110.982 eV for the cell shown
E_form = -0.5 eV/f.u.
distance to the lowest polymorph of the same formula = 125 meV per atom

=====

4.
An optimized crystal structure of Pa4Bi2C, computed with PBE. Values from VASP.

Geometry as Quantum ESPRESSO input:
```
&SYSTEM
  ibrav = 0, nat = 7, ntyp = 3
/
ATOMIC_SPECIES
Bi 208.98 Bi.upf
C 12.01 C.upf
Pa 231.04 Pa.upf
CELL_PARAMETERS angstrom
-2.519 -0.310 4.005
-3.814 -1.300 -2.500
5.328 -6.985 0.003
ATOMIC_POSITIONS angstrom
Bi 1.512 -5.451 0.529
Bi -2.518 -3.145 0.980
C 0.000 0.000 0.000
Pa 0.637 -2.297 0.223
Pa -1.643 -6.298 1.286
Pa -1.907 -0.650 -1.250
Pa -1.260 -0.155 2.003
```

## Properties
DFT total energy = -56.368 eV for the cell shown
E_form = -1.4 eV/f.u.
distance to the lowest polymorph of the same formula = 0 meV per atom

=====

5.
An optimized crystal structure of Pa2BiC, computed with PBE. Values from VASP.

Geometry as Quantum ESPRESSO input:
```
&SYSTEM
  ibrav = 0, nat = 4, ntyp = 3
/
ATOMIC_SPECIES
Pa 231.04 Pa.upf
C 12.01 C.upf
Bi 208.98 Bi.upf
CELL_PARAMETERS angstrom
3.415 -0.001 0.000
1.707 2.958 0.000
1.707 0.986 8.668
ATOMIC_POSITIONS angstrom
Pa 1.708 0.986 1.482
Pa 1.707 0.985 7.188
C 5.122 2.957 8.664
Bi 3.414 1.971 4.335
```

## Properties
DFT total energy = -33.433 eV for the cell shown
E_form = -1.3 eV/f.u.
distance to the lowest polymorph of the same formula = 7 meV per atom

=====

6.
An optimized crystal structure of Pa3BiC, computed with PBE. Values from VASP.

Geometry as Quantum ESPRESSO input:
```
&SYSTEM
  ibrav = 0, nat = 5, ntyp = 3
/
ATOMIC_SPECIES
Pa 231.04 Pa.upf
C 12.01 C.upf
Bi 208.98 Bi.upf
CELL_PARAMETERS angstrom
-2.837 -0.246 -3.905
-3.297 -2.449 2.549
-2.108 4.160 1.270
ATOMIC_POSITIONS angstrom
Pa -1.419 -0.123 -1.953
Pa -1.054 2.080 0.635
Pa -1.648 -1.224 1.275
C 0.000 0.000 0.000
Bi -4.121 0.733 -0.043
```

## Properties
DFT total energy = -42.935 eV for the cell shown
E_form = -1.3 eV/f.u.

=====

7.
An optimized crystal structure of Pa4Bi3C, computed with PBE. Values from VASP.

Geometry as Quantum ESPRESSO input:
```
&SYSTEM
  ibrav = 0, nat = 8, ntyp = 3
/
ATOMIC_SPECIES
C 12.01 C.upf
Bi 208.98 Bi.upf
Pa 231.04 Pa.upf
CELL_PARAMETERS angstrom
6.783 -0.350 0.288
-3.645 5.731 -0.288
-2.641 -2.065 5.913
ATOMIC_POSITIONS angstrom
C 3.563 1.528 2.985
Bi 1.021 -0.595 5.094
Bi 3.810 -2.222 5.705
Bi 0.357 3.397 2.139
Pa -3.060 3.847 1.594
Pa 1.927 0.418 1.881
Pa -3.217 1.876 5.009
Pa -1.289 0.751 3.284
```

## Properties
DFT total energy = -58.378 eV for the cell shown
E_form = 0.5 eV/f.u.

=====

8.
An optimized crystal structure of PaBiTe2C, computed with PBE. Values from VASP.

Geometry as Quantum ESPRESSO input:
```
&SYSTEM
  ibrav = 0, nat = 10, ntyp = 4
/
ATOMIC_SPECIES
C 12.01 C.upf
Pa 231.04 Pa.upf
Te 127.60 Te.upf
Bi 208.98 Bi.upf
CELL_PARAMETERS angstrom
-3.339 0.038 2.496
-0.957 -3.869 -1.221
9.166 -6.167 12.355
ATOMIC_POSITIONS angstrom
C 2.435 -4.999 6.815
C 4.583 -3.083 6.177
Pa 3.510 -3.465 8.229
Pa 3.508 -4.617 4.763
Te 6.637 -5.570 12.445
Te 1.372 -2.027 5.347
Te 0.380 -2.513 0.547
Te 5.646 -6.055 7.645
Bi 7.283 -7.156 9.851
Bi -0.265 -0.926 3.141
```

## Properties
DFT total energy = -61.541 eV for the cell shown
formation energy (no corrections) = -0.377 eV per atom

=====

9.
An optimized crystal structure of TmPaBiC, computed with PBE. Values from VASP.

Geometry as Quantum ESPRESSO input:
```
&SYSTEM
  ibrav = 0, nat = 4, ntyp = 4
/
ATOMIC_SPECIES
C 12.01 C.upf
Tm 168.93 Tm.upf
Pa 231.04 Pa.upf
Bi 208.98 Bi.upf
CELL_PARAMETERS angstrom
-1.098 -0.870 3.180
1.464 -2.671 1.673
6.017 4.258 5.140
ATOMIC_POSITIONS angstrom
C 5.458 1.157 7.896
Tm 4.405 1.478 5.722
Pa 0.484 -3.432 4.924
Bi 2.709 -1.379 6.254
```

## Properties
DFT total energy = -28.514 eV for the cell shown
E_form = -1.4 eV/f.u.

=====

10.
An optimized crystal structure of TmPaBi2C, computed with PBE. Values from VASP.

Geometry as Quantum ESPRESSO input:
```
&SYSTEM
  ibrav = 0, nat = 10, ntyp = 4
/
ATOMIC_SPECIES
C 12.01 C.upf
Pa 231.04 Pa.upf
Bi 208.98 Bi.upf
Tm 168.93 Tm.upf
CELL_PARAMETERS angstrom
-0.265 -0.003 -4.158
3.563 -2.148 -0.226
-7.501 -12.496 0.487
ATOMIC_POSITIONS angstrom
C -3.750 -6.248 0.244
C -2.101 -7.323 -1.948
Pa -1.430 -6.424 0.096
Pa -4.422 -7.147 -1.800
Bi 0.653 -2.954 -0.039
Bi -2.295 -3.604 -1.939
Bi -6.505 -10.618 -1.665
Bi -3.557 -9.968 0.234
Tm -0.635 -0.839 -2.046
Tm -5.216 -12.732 0.342
```

## Properties
DFT total energy = -65.122 eV for the cell shown
E_form = -1.6 eV/f.u.

=====

11.
An optimized crystal structure of BiPb2C2, computed with PBE. Values from VASP.

Geometry as Quantum ESPRESSO input:
```
&SYSTEM
  ibrav = 0, nat = 5, ntyp = 3
/
ATOMIC_SPECIES
C 12.01 C.upf
Pb 207.20 Pb.upf
Bi 208.98 Bi.upf
CELL_PARAMETERS angstrom
-1.932 -0.745 -5.023
0.365 -5.381 0.658
-4.380 -3.136 -0.788
ATOMIC_POSITIONS angstrom
C -4.565 -6.187 -3.203
C -1.382 -3.075 -1.951
Pb -2.399 -5.790 -1.157
Pb -3.548 -3.472 -3.997
Bi 0.000 0.000 0.000
```

## Properties
DFT total energy = -24.810 eV for the cell shown
E_form = 4.9 eV/f.u.
distance to the lowest polymorph of the same formula = 0 meV per atom

=====

12.
An optimized crystal structure of Bi2PbC, computed with PBE. Values from VASP.

Geometry as Quantum ESPRESSO input:
```
&SYSTEM
  ibrav = 0, nat = 8, ntyp = 3
/
ATOMIC_SPECIES
Pb 207.20 Pb.upf
Bi 208.98 Bi.upf
C 12.01 C.upf
CELL_PARAMETERS angstrom
7.380 0.000 0.000
0.000 7.380 0.000
3.690 3.690 4.061
ATOMIC_POSITIONS angstrom
Pb 0.000 0.000 0.000
Pb 7.380 3.690 2.031
Bi 9.225 8.473 3.046
Bi 2.597 5.535 1.015
Bi 5.535 6.287 3.046
Bi 4.783 1.845 1.015
C 3.690 7.380 2.031
C 3.690 3.690 0.000
```

## Properties
DFT total energy = -34.020 eV for the cell shown
E_form = 3.7 eV/f.u.
distance to the lowest polymorph of the same formula = 0 meV per atom